(1)
The following is a GGA-PBE calculation of an optimized crystal structure of CsFeCo, from Alexandria via LeMat-Bulk.

a = 3.8928 Å, b = 3.8956 Å, c = 12.2020 Å
α = 82.20°, β = 81.36°, γ = 60.07°
With the nearest neighbours (Å) after each atom.
Space group P-1 (No. 2)
Asymmetric unit:
Cs1 0.0609 0.0814 0.3051 (multiplicity 2)  3 Co 3.38-3.42, 1 Fe 3.69
Fe1 0.1673 0.1673 0.9981 (multiplicity 2)  3 Fe 2.25, 3 Co 2.50
Co1 0.4681 0.4758 0.0932 (multiplicity 2)  1 Co 2.24, 3 Fe 2.50

Output
Excess energy over the best structure of this formula in the dataset in meV per atom: 172.2
Calculated volume in Å³/atom: 26.357
Energy of formation in eV per atom: 0.7122
E in eV/atom: -4.762

***

(2)
The following is a GGA-PBE calculation of an optimized crystal structure of CsFeCo, from Alexandria via LeMat-Bulk.

a = 3.9854 Å, b = 3.9884 Å, c = 12.1674 Å
α = 82.35°, β = 89.83°, γ = 60.03°
With the nearest neighbours (Å) after each atom.
Space group P1 (No. 1)
Asymmetric unit:
Cs1 0.0000 0.0000 0.0000 (multiplicity 1)  3 Co 3.43-3.44, 1 Fe 3.68
Cs2 0.4932 0.0028 0.6056 (multiplicity 1)  3 Co 3.42-3.43, 1 Fe 3.69
Fe1 0.0812 0.8335 0.3062 (multiplicity 1)  3 Fe 2.30, 6 Co 2.53-2.57
Fe2 0.4126 0.1709 0.2990 (multiplicity 1)  3 Fe 2.30, 6 Co 2.53-2.58
Co1 0.7228 0.5517 0.2118 (multiplicity 1)  1 Co 2.20
Co2 0.7711 0.4522 0.3944 (multiplicity 1)  1 Co 2.20

Output
Excess energy over the best structure of this formula in the dataset in meV per atom: 155.9
Calculated volume in Å³/atom: 27.598
Energy of formation in eV per atom: 0.6959
E in eV/atom: -4.778

***

(3)
The following is a GGA-PBE calculation of an optimized crystal structure of CsFeCo, from Alexandria via LeMat-Bulk.

a = 4.0964 Å, b = 4.0965 Å, c = 10.9110 Å
α = 89.51°, β = 89.64°, γ = 81.10°
With the nearest neighbours (Å) after each atom.
Space group P-1 (No. 2)
Asymmetric unit:
Cs1 0.2419 0.2439 0.2218 (multiplicity 2)  4 Co 3.46-3.87, 4 Fe 3.57-3.76
Fe1 0.2179 0.7817 0.5000 (multiplicity 2)  4 Co 2.16-2.29, 1 Fe 2.32
Co1 0.2880 0.2858 0.5757 (multiplicity 2)  4 Fe 2.16-2.29

Output
Excess energy over the best structure of this formula in the dataset in meV per atom: 206.5
Calculated volume in Å³/atom: 30.148
Energy of formation in eV per atom: 0.7465
E in eV/atom: -4.728

***

(4)
The following is a GGA-PBE calculation of an optimized crystal structure of CsFeCo, from Alexandria via LeMat-Bulk.

a = 6.3872 Å, b = 4.7567 Å, c = 4.7939 Å
α = 90.00°, β = 90.00°, γ = 90.00°
With the nearest neighbours (Å) after each atom.
Space group Amm2 (No. 38)
Asymmetric unit:
Cs1 0.0000 0.0000 0.0000 (multiplicity 2)  4 Cs 3.38, 2 Fe 3.39, 2 Co 3.46
Fe1 0.5000 0.0000 0.2364 (multiplicity 2)  4 Co 2.34-2.45
Co1 0.5000 0.0000 0.7250 (multiplicity 2)  4 Fe 2.34-2.45

Output
Excess energy over the best structure of this formula in the dataset in meV per atom: 378.0
Calculated volume in Å³/atom: 24.275
Energy of formation in eV per atom: 0.9179
E in eV/atom: -4.556

***

(5)
The following is a GGA-PBE calculation of an optimized crystal structure of CsFe2Co4, from Alexandria via LeMat-Bulk.

a = 4.7408 Å, b = 4.7408 Å, c = 12.3627 Å
α = 90.00°, β = 90.00°, γ = 90.00°
With the nearest neighbours (Å) after each atom.
Space group I4/mmm (No. 139)
Asymmetric unit:
Cs1 0.0000 0.0000 0.0000 (multiplicity 2)  4 Co 2.37
Fe1 0.0000 0.0000 0.4044 (multiplicity 4)  1 Co 2.17, 1 Fe 2.36
Co1 0.0000 0.0000 0.2288 (multiplicity 4)  1 Fe 2.17
Co2 0.0000 0.5000 0.0000 (multiplicity 4)  2 Cs 2.37, 4 Fe 2.65

Output
Calculated volume in Å³/atom: 19.846
Energy of formation in eV per atom: 1.9991
E in eV/atom: -4.601

***

(6)
The following is a GGA-PBE calculation of an optimized crystal structure of CsFeCo, from Alexandria via LeMat-Bulk.

a = 4.1327 Å, b = 4.6613 Å, c = 10.9116 Å
α = 88.60°, β = 89.68°, γ = 90.00°
With the nearest neighbours (Å) after each atom.
Space group P-1 (No. 2)
Asymmetric unit:
Cs1 0.2457 0.2839 0.2764 (multiplicity 2)  3 Co 3.36-3.70, 1 Fe 3.56
Fe1 0.2506 0.1211 0.9595 (multiplicity 2)  4 Co 2.31-2.45, 2 Fe 2.51
Co1 0.2500 0.6341 0.0030 (multiplicity 2)  4 Fe 2.31-2.45, 2 Co 2.42

Output
Excess energy over the best structure of this formula in the dataset in meV per atom: 0.0
Calculated volume in Å³/atom: 35.022
Energy of formation in eV per atom: 0.5400
E in eV/atom: -4.934